## Y3Mo (PBE)

Data for a relaxed structure of Y3Mo.

Calculated values
Its offset from the most stable computed form is 236.4 meV per atom. For the formation energy, the calculation gives 412.2 meV per atom. The value obtained for the total energy is -7.14 eV per atom. The volume is 109.9 Å³ per cell. The value obtained for the density of states at the Fermi level is 8.15 states/eV/f.u.

abc: 10.606 10.606 10.606
angles: 18.95 18.95 18.95
Sites, in units of the cell vectors:
Y (0.000, 0.000, 0.000)
Y (0.234, 0.234, 0.234)
Y (0.766, 0.766, 0.766)
Mo (0.500, 0.500, 0.500)